The following is a DFT calculation (PBE-GGA) of a relaxed RbTeS3 crystal.

Cell: 6.8313 6.8313 23.2373 Å, 90.00 90.00 120.00°
Last column: nearest neighbours and their distance in Å.
Space group R-3 (No. 148, hexagonal axes)
Symmetry-distinct sites (fractional):
Rb1 0.0000 0.0000 0.1369 [6 per cell]  6 S 3.24-3.59
Te1 0.0000 0.0000 0.3301 [6 per cell]  6 S 2.55-2.67
S1 0.0030 0.4164 0.9306 [18 per cell]  2 Te 2.55-2.67

Crystal system = trigonal
Magnetic moment = 0.00 μB per cell
ΔE_f (raw) = -225 meV/atom